Na2CdCoF, relaxed, DFT PBE+U; uncorrected energy = -2.056 eV/atom; density of states at the Fermi level = 0.230 states/eV/atom
1.0
5.937 0.000 0.000
0.000 5.937 0.000
0.000 0.000 4.565
Na Cd Co F
2 1 1 1
Cartesian
0.000 2.969 0.000
2.969 0.000 0.000
0.000 0.000 0.000
2.969 2.969 2.283
0.000 0.000 2.283